# 1
# NdSnHgBr6 PBE relaxed
# crystal system = trigonal
# E_form (uncorrected) = -1.089 eV/atom
# DOS(E_F) = 0.4558 states/eV per atom
# uncorrected energy = -28.9 eV for the cell shown
data_NdSnHgBr6
_chemical_formula_sum 'Nd1 Sn1 Hg1 Br6'
_space_group_name_H-M_alt 'P 3 1 2'
_space_group_IT_number 149
_cell_length_a 7.5202
_cell_length_b 7.5202
_cell_length_c 6.9190
_cell_angle_alpha 90.00
_cell_angle_beta 90.00
_cell_angle_gamma 120.00
loop_
_space_group_symop_operation_xyz
'x,y,z'
'-y,x-y,z'
'-x+y,-x,z'
'-y,-x,-z'
'-x+y,y,-z'
'x,x-y,-z'
loop_
_atom_site_label
_atom_site_type_symbol
_atom_site_fract_x
_atom_site_fract_y
_atom_site_fract_z
_atom_site_occupancy
Nd1 Nd 0.0000 0.0000 0.0000 1
Sn1 Sn 0.3333 0.6667 0.0000 1
Hg1 Hg 0.6667 0.3333 0.5000 1
Br1 Br 0.0150 0.3279 0.7619 1


# 2
# Y5Ho2Tl4 PBE relaxed
# crystal system = orthorhombic
# E_form = 0.33 eV/atom
# DOS(E_F) = 1.3125 states/eV per atom
# uncorrected energy = -94.6 eV for the cell shown
data_Y5Ho2Tl4
_chemical_formula_sum 'Y10 Ho4 Tl8'
_space_group_name_H-M_alt 'I m m m'
_space_group_IT_number 71
_space_group_name_Hall '-I 2 2'
_cell_length_a 3.481
_cell_length_b 8.619
_cell_length_c 29.053
_cell_angle_alpha 90.00
_cell_angle_beta 90.00
_cell_angle_gamma 90.00
loop_
_atom_site_label
_atom_site_type_symbol
_atom_site_fract_x
_atom_site_fract_y
_atom_site_fract_z
_atom_site_occupancy
Y1 Y 0.000 0.000 0.000 1
Y2 Y 0.000 0.301 0.300 1
Ho1 Ho 0.000 0.500 0.404 1
Tl1 Tl 0.000 0.181 0.500 1
Tl2 Tl 0.000 0.500 0.202 1


# 3
# Ba2NpMo2N6 PBE relaxed
# crystal system = trigonal
# E_form (uncorrected) = -0.728 eV/atom
# DOS(E_F) = 0.4482 states/eV per atom
# uncorrected energy = -289.2 eV for the cell shown
data_Ba2NpMo2N6
_chemical_formula_sum 'Ba6 Np3 Mo6 N18'
_space_group_name_H-M_alt 'R -3 m'
_space_group_IT_number 166
_space_group_name_Hall '-R 3 2"'
_cell_length_a 6.1917
_cell_length_b 6.1917
_cell_length_c 18.1226
_cell_angle_alpha 90.00
_cell_angle_beta 90.00
_cell_angle_gamma 120.00
loop_
_atom_site_label
_atom_site_type_symbol
_atom_site_fract_x
_atom_site_fract_y
_atom_site_fract_z
_atom_site_occupancy
Ba1 Ba 0.0000 0.0000 0.2184 1
Np1 Np 0.0000 0.0000 0.0000 1
Mo1 Mo 0.0000 0.0000 0.4280 1
N1 N 0.0077 0.5038 0.7429 1


# 4
# SmEu3Cu PBE relaxed
# crystal system = cubic
# E_form = 0.15 eV/atom
# DOS(E_F) = 3.7391 states/eV per atom
# uncorrected energy = -38.9 eV for the cell shown
data_SmEu3Cu
_chemical_formula_sum 'Sm1 Eu3 Cu1'
_space_group_name_H-M_alt 'P m -3 m'
_space_group_IT_number 221
_space_group_name_Hall '-P 4 2 3'
_cell_length_a 5.713
_cell_length_b 5.713
_cell_length_c 5.713
_cell_angle_alpha 90.00
_cell_angle_beta 90.00
_cell_angle_gamma 90.00
loop_
_atom_site_label
_atom_site_type_symbol
_atom_site_fract_x
_atom_site_fract_y
_atom_site_fract_z
_atom_site_occupancy
Sm1 Sm 0.000 0.000 0.000 1
Eu1 Eu 0.000 0.500 0.500 1
Cu1 Cu 0.500 0.500 0.500 1


# 5
# Zr2ScN2 PBE relaxed
# crystal system = orthorhombic
# E above lowest polymorph = 0.000 eV/atom
# E_form (uncorrected) = -1.423 eV/atom
# DOS(E_F) = 0.5926 states/eV per atom
# uncorrected energy = -94.4 eV for the cell shown
data_Zr2ScN2
_chemical_formula_sum 'Zr4 Sc2 N4'
_space_group_name_H-M_alt 'I m m m'
_space_group_IT_number 71
_space_group_name_Hall '-I 2 2'
_cell_length_a 3.295
_cell_length_b 4.562
_cell_length_c 9.796
_cell_angle_alpha 90.00
_cell_angle_beta 90.00
_cell_angle_gamma 90.00
loop_
_atom_site_label
_atom_site_type_symbol
_atom_site_fract_x
_atom_site_fract_y
_atom_site_fract_z
_atom_site_occupancy
Zr1 Zr 0.000 0.000 0.181 1
Sc1 Sc 0.000 0.000 0.500 1
N1 N 0.000 0.500 0.163 1


# 6
# SrAcSbTe PBE relaxed
# crystal system = trigonal
# E above lowest polymorph = 0.000 eV/atom
# E_form (uncorrected) = -1.431 eV/atom
# uncorrected energy = -56.3 eV for the cell shown
data_SrAcSbTe
_chemical_formula_sum 'Sr3 Ac3 Sb3 Te3'
_space_group_name_H-M_alt 'R 3 m'
_space_group_IT_number 160
_space_group_name_Hall 'R 3 -2"'
_cell_length_a 4.7997
_cell_length_b 4.7997
_cell_length_c 23.4184
_cell_angle_alpha 90.00
_cell_angle_beta 90.00
_cell_angle_gamma 120.00
loop_
_atom_site_label
_atom_site_type_symbol
_atom_site_fract_x
_atom_site_fract_y
_atom_site_fract_z
_atom_site_occupancy
Sr1 Sr 0.0000 0.0000 0.0000 1
Ac1 Ac 0.0000 0.0000 0.5078 1
Sb1 Sb 0.0000 0.0000 0.2517 1
Te1 Te 0.0000 0.0000 0.7535 1


# 7
# Ba3Li4Pt4 PBE relaxed
# crystal system = cubic
# E_form = -0.52 eV/atom
# DOS(E_F) = 0.5955 states/eV per atom
# uncorrected energy = -86.6 eV for the cell shown
data_Ba3Li4Pt4
_chemical_formula_sum 'Ba6 Li8 Pt8'
_space_group_name_H-M_alt 'I -4 3 m'
_space_group_IT_number 217
_space_group_name_Hall 'I -4 2 3'
_cell_length_a 7.994
_cell_length_b 7.994
_cell_length_c 7.994
_cell_angle_alpha 90.00
_cell_angle_beta 90.00
_cell_angle_gamma 90.00
loop_
_atom_site_label
_atom_site_type_symbol
_atom_site_fract_x
_atom_site_fract_y
_atom_site_fract_z
_atom_site_occupancy
Ba1 Ba 0.000 0.000 0.500 1
Li1 Li 0.124 0.124 0.124 1
Pt1 Pt 0.192 0.192 0.808 1


# 8
# MnSi2Br PBE relaxed
# crystal system = trigonal
# E above lowest polymorph = 0.235 eV/atom
# E_form (uncorrected) = 0.278 eV/atom
# DOS(E_F) = 0.8392 states/eV per atom
# uncorrected energy = -61.7 eV for the cell shown
data_MnSi2Br
_chemical_formula_sum 'Mn3 Si6 Br3'
_space_group_name_H-M_alt 'R -3 m'
_space_group_IT_number 166
_space_group_name_Hall '-R 3 2"'
_cell_length_a 3.1884
_cell_length_b 3.1884
_cell_length_c 22.0373
_cell_angle_alpha 90.00
_cell_angle_beta 90.00
_cell_angle_gamma 120.00
loop_
_atom_site_label
_atom_site_type_symbol
_atom_site_fract_x
_atom_site_fract_y
_atom_site_fract_z
_atom_site_occupancy
Mn1 Mn 0.0000 0.0000 0.0000 1
Si1 Si 0.0000 0.0000 0.2674 1
Br1 Br 0.0000 0.0000 0.5000 1


# 9
# LiPt2O PBE relaxed
# crystal system = tetragonal
# E_form (uncorrected) = -0.139 eV/atom
# DOS(E_F) = 0.1196 states/eV per atom
# uncorrected energy = -78.0 eV for the cell shown
data_LiPt2O
_chemical_formula_sum 'Li4 Pt8 O4'
_space_group_name_H-M_alt 'I -4 2 d'
_space_group_IT_number 122
_space_group_name_Hall 'I -4 2bw'
_cell_length_a 5.216
_cell_length_b 5.216
_cell_length_c 12.146
_cell_angle_alpha 90.00
_cell_angle_beta 90.00
_cell_angle_gamma 90.00
loop_
_atom_site_label
_atom_site_type_symbol
_atom_site_fract_x
_atom_site_fract_y
_atom_site_fract_z
_atom_site_occupancy
Li1 Li 0.000 0.000 0.000 1
Pt1 Pt 0.008 0.750 0.625 1
O1 O 0.000 0.000 0.500 1


# 10
# HfGa2Bi PBE relaxed
# crystal system = tetragonal
# E_form = 0.16 eV/atom
# DOS(E_F) = 0.8510 states/eV per atom
# uncorrected energy = -77.0 eV for the cell shown
data_HfGa2Bi
_chemical_formula_sum 'Hf4 Ga8 Bi4'
_space_group_name_H-M_alt 'I -4 2 d'
_space_group_IT_number 122
_space_group_name_Hall 'I -4 2bw'
_cell_length_a 7.897
_cell_length_b 7.897
_cell_length_c 5.951
_cell_angle_alpha 90.00
_cell_angle_beta 90.00
_cell_angle_gamma 90.00
loop_
_atom_site_label
_atom_site_type_symbol
_atom_site_fract_x
_atom_site_fract_y
_atom_site_fract_z
_atom_site_occupancy
Hf1 Hf 0.000 0.000 0.000 1
Ga1 Ga 0.237 0.250 0.125 1
Bi1 Bi 0.000 0.000 0.500 1


# 11
# AgOsW2 PBE relaxed
# crystal system = orthorhombic
# E above lowest polymorph = 0.165 eV/atom
# E_form = 0.53 eV/atom
# DOS(E_F) = 1.0632 states/eV per atom
# uncorrected energy = -75.8 eV for the cell shown
data_AgOsW2
_chemical_formula_sum 'Ag2 Os2 W4'
_space_group_name_H-M_alt 'C m m m'
_space_group_IT_number 65
_space_group_name_Hall '-C 2 2'
_cell_length_a 2.980
_cell_length_b 4.572
_cell_length_c 9.551
_cell_angle_alpha 90.00
_cell_angle_beta 90.00
_cell_angle_gamma 90.00
loop_
_atom_site_label
_atom_site_type_symbol
_atom_site_fract_x
_atom_site_fract_y
_atom_site_fract_z
_atom_site_occupancy
Ag1 Ag 0.000 0.000 0.000 1
Os1 Os 0.000 0.000 0.500 1
W1 W 0.000 0.500 0.265 1


# 12
# Dy4BiTe3 PBE relaxed
# crystal system = orthorhombic
# E_form (uncorrected) = -1.186 eV/atom
# DOS(E_F) = 0.4556 states/eV per atom
# uncorrected energy = -82.4 eV for the cell shown
data_Dy4BiTe3
_chemical_formula_sum 'Dy8 Bi2 Te6'
_space_group_name_H-M_alt 'C m m m'
_space_group_IT_number 65
_space_group_name_Hall '-C 2 2'
_cell_length_a 8.784
_cell_length_b 12.391
_cell_length_c 4.376
_cell_angle_alpha 90.00
_cell_angle_beta 90.00
_cell_angle_gamma 90.00
loop_
_atom_site_label
_atom_site_type_symbol
_atom_site_fract_x
_atom_site_fract_y
_atom_site_fract_z
_atom_site_occupancy
Dy1 Dy 0.000 0.249 0.000 1
Dy2 Dy 0.248 0.000 0.500 1
Bi1 Bi 0.000 0.500 0.000 1
Te1 Te 0.000 0.000 0.000 1
Te2 Te 0.250 0.250 0.500 1


# 13
# CsSi2Ni2 PBE relaxed
# crystal system = tetragonal
# E_form (uncorrected) = -0.020 eV/atom
# DOS(E_F) = 0.5394 states/eV per atom
# uncorrected energy = -46.7 eV for the cell shown
data_CsSi2Ni2
_chemical_formula_sum 'Cs2 Si4 Ni4'
_space_group_name_H-M_alt 'I 4/m m m'
_space_group_IT_number 139
_space_group_name_Hall '-I 4 2'
_cell_length_a 4.039
_cell_length_b 4.039
_cell_length_c 13.884
_cell_angle_alpha 90.00
_cell_angle_beta 90.00
_cell_angle_gamma 90.00
loop_
_atom_site_label
_atom_site_type_symbol
_atom_site_fract_x
_atom_site_fract_y
_atom_site_fract_z
_atom_site_occupancy
Cs1 Cs 0.000 0.000 0.000 1
Si1 Si 0.000 0.500 0.250 1
Ni1 Ni 0.000 0.000 0.326 1


# 14
# BaNaH2 PBE relaxed
# crystal system = cubic
# E above lowest polymorph = 0.023 eV/atom
# DOS(E_F) = 0.2520 states/eV per atom
# uncorrected energy = -42.4 eV for the cell shown
data_BaNaH2
_chemical_formula_sum 'Ba4 Na4 H8'
_space_group_name_H-M_alt 'F m -3 m'
_space_group_IT_number 225
_space_group_name_Hall '-F 4 2 3'
_cell_length_a 6.741
_cell_length_b 6.741
_cell_length_c 6.741
_cell_angle_alpha 90.00
_cell_angle_beta 90.00
_cell_angle_gamma 90.00
loop_
_atom_site_label
_atom_site_type_symbol
_atom_site_fract_x
_atom_site_fract_y
_atom_site_fract_z
_atom_site_occupancy
Ba1 Ba 0.000 0.000 0.000 1
Na1 Na 0.000 0.000 0.500 1
H1 H 0.250 0.250 0.250 1


# 15
# CsPr2I8 PBE relaxed
# crystal system = monoclinic
# E above lowest polymorph = 0.047 eV/atom
# E_form (uncorrected) = -1.247 eV/atom
# DOS(E_F) = 1.3312 states/eV per atom
# uncorrected energy = -73.1 eV for the cell shown
data_CsPr2I8
_chemical_formula_sum 'Cs2 Pr4 I16'
_space_group_name_H-M_alt 'C 1 2/m 1'
_space_group_IT_number 12
_cell_length_a 12.451
_cell_length_b 9.891
_cell_length_c 9.863
_cell_angle_alpha 90.00
_cell_angle_beta 103.40
_cell_angle_gamma 90.00
loop_
_space_group_symop_operation_xyz
'x,y,z'
'-x,-y,-z'
'-x,y,-z'
'x,-y,z'
'x+1/2,y+1/2,z'
'-x+1/2,-y+1/2,-z'
'-x+1/2,y+1/2,-z'
'x+1/2,-y+1/2,z'
loop_
_atom_site_label
_atom_site_type_symbol
_atom_site_fract_x
_atom_site_fract_y
_atom_site_fract_z
_atom_site_occupancy
Cs1 Cs 0.000 0.000 0.000 1
Pr1 Pr 0.182 0.500 0.452 1
I1 I 0.077 0.500 0.716 1
I2 I 0.117 0.185 0.372 1
I3 I 0.249 0.500 0.172 1


# 16
# Li2PdI PBE relaxed
# crystal system = trigonal
# E above lowest polymorph = 0.126 eV/atom
# E_form (uncorrected) = -0.226 eV/atom
# DOS(E_F) = 0.5371 states/eV per atom
# uncorrected energy = -34.4 eV for the cell shown
data_Li2PdI
_chemical_formula_sum 'Li6 Pd3 I3'
_space_group_name_H-M_alt 'R -3 m'
_space_group_IT_number 166
_space_group_name_Hall '-R 3 2"'
_cell_length_a 3.5335
_cell_length_b 3.5335
_cell_length_c 25.6966
_cell_angle_alpha 90.00
_cell_angle_beta 90.00
_cell_angle_gamma 120.00
loop_
_atom_site_label
_atom_site_type_symbol
_atom_site_fract_x
_atom_site_fract_y
_atom_site_fract_z
_atom_site_occupancy
Li1 Li 0.0000 0.0000 0.1038 1
Pd1 Pd 0.0000 0.0000 0.5000 1
I1 I 0.0000 0.0000 0.0000 1


# 17
# MgBeNb2Al PBE relaxed
# crystal system = tetragonal
# E_form = 1.76 eV/atom
# DOS(E_F) = 0.9827 states/eV per atom
# uncorrected energy = -20.4 eV for the cell shown
data_MgBeNb2Al
_chemical_formula_sum 'Mg1 Be1 Nb2 Al1'
_space_group_name_H-M_alt 'P 4/m m m'
_space_group_IT_number 123
_space_group_name_Hall '-P 4 2'
_cell_length_a 4.745
_cell_length_b 4.745
_cell_length_c 4.588
_cell_angle_alpha 90.00
_cell_angle_beta 90.00
_cell_angle_gamma 90.00
loop_
_atom_site_label
_atom_site_type_symbol
_atom_site_fract_x
_atom_site_fract_y
_atom_site_fract_z
_atom_site_occupancy
Mg1 Mg 0.000 0.000 0.000 1
Be1 Be 0.500 0.500 0.500 1
Nb1 Nb 0.000 0.500 0.000 1
Al1 Al 0.000 0.000 0.500 1


# 18
# Nd3Ag4Hg2 PBE relaxed
# crystal system = monoclinic
# E_form = -0.33 eV/atom
# DOS(E_F) = 0.6716 states/eV per atom
# uncorrected energy = -58.6 eV for the cell shown
data_Nd3Ag4Hg2
_chemical_formula_sum 'Nd6 Ag8 Hg4'
_space_group_name_H-M_alt 'C 1 2/m 1'
_space_group_IT_number 12
_cell_length_a 11.017
_cell_length_b 4.911
_cell_length_c 9.238
_cell_angle_alpha 90.00
_cell_angle_beta 119.10
_cell_angle_gamma 90.00
loop_
_space_group_symop_operation_xyz
'x,y,z'
'-x,-y,-z'
'-x,y,-z'
'x,-y,z'
'x+1/2,y+1/2,z'
'-x+1/2,-y+1/2,-z'
'-x+1/2,y+1/2,-z'
'x+1/2,-y+1/2,z'
loop_
_atom_site_label
_atom_site_type_symbol
_atom_site_fract_x
_atom_site_fract_y
_atom_site_fract_z
_atom_site_occupancy
Nd1 Nd 0.000 0.000 0.000 1
Nd2 Nd 0.166 0.500 0.668 1
Ag1 Ag 0.052 0.000 0.388 1
Ag2 Ag 0.227 0.500 0.057 1
Hg1 Hg 0.113 0.500 0.279 1


# 19
# Na2TcH PBE relaxed
# crystal system = tetragonal
# E above lowest polymorph = 0.000 eV/atom
# DOS(E_F) = 0.6309 states/eV per atom
# uncorrected energy = -53.3 eV for the cell shown
data_Na2TcH
_chemical_formula_sum 'Na8 Tc4 H4'
_space_group_name_H-M_alt 'I -4 2 d'
_space_group_IT_number 122
_space_group_name_Hall 'I -4 2bw'
_cell_length_a 9.505
_cell_length_b 9.505
_cell_length_c 3.502
_cell_angle_alpha 90.00
_cell_angle_beta 90.00
_cell_angle_gamma 90.00
loop_
_atom_site_label
_atom_site_type_symbol
_atom_site_fract_x
_atom_site_fract_y
_atom_site_fract_z
_atom_site_occupancy
Na1 Na 0.104 0.250 0.125 1
Tc1 Tc 0.000 0.000 0.500 1
H1 H 0.000 0.000 0.000 1


# 20
# Ca3Sn5F12 PBE relaxed
# crystal system = cubic
# E_form (uncorrected) = -2.388 eV/atom
# DOS(E_F) = 0.5031 states/eV per atom
# uncorrected energy = -769.9 eV for the cell shown
data_Ca3Sn5F12
_chemical_formula_sum 'Ca24 Sn40 F96'
_space_group_name_H-M_alt 'I a -3 d'
_space_group_IT_number 230
_space_group_name_Hall '-I 4bd 2c 3'
_cell_length_a 14.641
_cell_length_b 14.641
_cell_length_c 14.641
_cell_angle_alpha 90.00
_cell_angle_beta 90.00
_cell_angle_gamma 90.00
loop_
_atom_site_label
_atom_site_type_symbol
_atom_site_fract_x
_atom_site_fract_y
_atom_site_fract_z
_atom_site_occupancy
Ca1 Ca 0.000 0.250 0.125 1
Sn1 Sn 0.000 0.000 0.000 1
Sn2 Sn 0.000 0.250 0.375 1
F1 F 0.009 0.049 0.163 1